5
Lattice="5.165 0.000 0.000 0.000 5.165 0.000 0.000 0.000 4.911" Properties=species:S:1:pos:R:3 comment="BaSc2TiCo (GGA-PBE, optimized geometry)" space_group="P4/mmm, No. 123" e_form_kcal_per_mol_atoms=44.3 pbc="T T T"
Ba 0.000 0.000 0.000
Sc 0.000 2.582 0.000
Sc 2.582 0.000 0.000
Ti 0.000 0.000 2.456
Co 2.582 2.582 2.456